Na2MgGe2 | PBE | relaxed

```
Na2MgGe2
1.0
-5.229 -2.137 4.321
3.816 -5.730 1.784
1.963 2.420 3.573
Na Mg Ge
4 2 4
direct
0.328 0.172 0.500
0.172 0.672 0.500
0.828 0.328 0.500
0.672 0.828 0.500
0.000 0.000 0.000
0.500 0.500 0.000
0.623 0.123 0.000
0.123 0.377 0.000
0.377 0.877 0.000
0.877 0.623 0.000
```

Calculated values
The value obtained for the calculated volume is 24.0 A^3/atom. As for the final energy: -2.770 eV per atom. The calculation puts the calculated formation energy at -0.08 eV/atom. For the density of states at the Fermi level, the calculation gives 0.37 states/eV per atom.